# Pm2Nd2Te3 | the Alexandria database | PBE | optimized geometry
data_Pm2Nd2Te3
_chemical_formula_sum 'Pm2 Nd2 Te3'
_cell_length_a 4.313
_cell_length_b 7.419
_cell_length_c 8.620
_cell_angle_alpha 116.00
_cell_angle_beta 104.49
_cell_angle_gamma 90.00
_symmetry_space_group_name_H-M 'P 1'
_symmetry_Int_Tables_number 1
loop_
_symmetry_equiv_pos_as_xyz
'x,y,z'
loop_
_atom_site_label
_atom_site_type_symbol
_atom_site_fract_x
_atom_site_fract_y
_atom_site_fract_z
Pm1 Pm 0.888 0.736 0.777
Pm2 Pm 0.112 0.264 0.223
Nd1 Nd 0.626 0.799 0.253
Nd2 Nd 0.374 0.201 0.747
Te1 Te 0.000 0.500 0.000
Te2 Te 0.253 0.735 0.506
Te3 Te 0.747 0.265 0.494
# - Relative energy among the computed polymorphs: 120.0 meV per atom

---

# LaThPd | the Alexandria database | PBE | optimized geometry
data_LaThPd
_chemical_formula_sum 'La1 Th1 Pd1'
_cell_length_a 3.748
_cell_length_b 3.748
_cell_length_c 6.455
_cell_angle_alpha 106.88
_cell_angle_beta 106.88
_cell_angle_gamma 90.00
_symmetry_space_group_name_H-M 'P 1'
_symmetry_Int_Tables_number 1
loop_
_symmetry_equiv_pos_as_xyz
'x,y,z'
loop_
_atom_site_label
_atom_site_type_symbol
_atom_site_fract_x
_atom_site_fract_y
_atom_site_fract_z
Th1 Th 0.306 0.306 0.611
Pd1 Pd 0.688 0.688 0.377
La1 La 0.006 0.006 0.012
# - Relative energy among the computed polymorphs: 0.0 meV per atom
# - Formation energy: -450 meV per atom